Density functional theory data (GGA-PBE) for a relaxed Sr5Ti5O13 crystal.

Geometry as CIF:
```
data_Sr5Ti5O13
_chemical_formula_sum 'Sr5 Ti5 O13'
_symmetry_space_group_name_H-M 'P -1'
_symmetry_Int_Tables_number 2
_cell_length_a 5.603
_cell_length_b 6.850
_cell_length_c 8.808
_cell_angle_alpha 75.01
_cell_angle_beta 71.62
_cell_angle_gamma 89.73
loop_
_symmetry_equiv_pos_as_xyz
'x,y,z'
'-x,-y,-z'
loop_
_atom_site_label
_atom_site_type_symbol
_atom_site_fract_x
_atom_site_fract_y
_atom_site_fract_z
Sr1 Sr 0.000 0.000 0.000
Sr2 Sr 0.204 0.803 0.601
Sr3 Sr 0.404 0.594 0.197
Ti1 Ti 0.000 0.500 0.000
Ti2 Ti 0.205 0.295 0.611
Ti3 Ti 0.391 0.107 0.207
O1 O 0.085 0.435 0.783
O2 O 0.118 0.880 0.295
O3 O 0.205 0.279 0.080
O4 O 0.282 0.205 0.401
O5 O 0.306 0.703 0.910
O6 O 0.388 0.097 0.711
O7 O 0.500 0.500 0.500
```

Results
DOS(E_F): 6.45 states/eV per cell
Energy: -7.823 eV/atom
Theoretical density: 4761 kg/m3
Size of the total moment: 3.8 μB per formula unit